(1)
A plane-wave DFT calculation with PBE was carried out for a geometry-optimized CdTc5 structure.

## Properties
mass density	10.87	g cm⁻³
formation energy	114	kJ/mol of formula units
raw total energy	-8.59	eV/atom
symmetry	Amm2
DOS at the Fermi energy	0.899	states/eV per atom
offset from the most stable computed form	0.0000	eV/atom
crystal system	orthorhombic
total magnetic moment	0.00	μB per formula unit

abc: 4.4672 7.5276 7.5276
angles: 21.31 90.00 90.00
Sites, in units of the cell vectors:
Cd  0.0000  0.0000  0.0000
Tc  0.0000  0.3270  0.3270
Tc  0.0000  0.6731  0.6731
Tc  0.5000  0.1148  0.1148
Tc  0.5000  0.4307  0.4307
Tc  0.5000  0.7712  0.7712

=====

(2)
A plane-wave DFT calculation with PBE was carried out for a geometry-optimized ZrScCr2 structure.

## Properties
mass density	5.34	g cm⁻³
formation energy	186	kJ/mol of formula units
raw total energy	-8.05	eV/atom
symmetry	Pmm2
DOS at the Fermi energy	1.167	states/eV per atom
crystal system	orthorhombic
total magnetic moment	5.32	μB per formula unit

abc: 3.0616 4.2960 5.6804
angles: 90.00 90.00 90.00
Sites, in units of the cell vectors:
Zr  0.0000  0.0000  0.0000
Sc  0.5000  0.5000  0.6880
Cr  0.0000  0.0000  0.4817
Cr  0.5000  0.5000  0.2015

=====

(3)
A plane-wave DFT calculation with PBE was carried out for a geometry-optimized CdInSi2 structure.

## Properties
mass density	5.76	g cm⁻³
raw total energy	-3.13	eV/atom
symmetry	Pmmm
DOS at the Fermi energy	0.388	states/eV per atom
offset from the most stable computed form	0.2242	eV/atom
crystal system	orthorhombic
total magnetic moment	0.00	μB per formula unit

abc: 4.2519 4.3169 4.4483
angles: 90.00 90.00 90.00
Sites, in units of the cell vectors:
Cd  0.0000  0.0000  0.0000
In  0.0000  0.5000  0.5000
Si  0.5000  0.0000  0.5000
Si  0.5000  0.5000  0.0000

=====

(4)
A plane-wave DFT calculation with PBE was carried out for a geometry-optimized RbNpAgO6 structure.

## Properties
mass density	5.13	g cm⁻³
raw total energy	-6.61	eV/atom
symmetry	C2
DOS at the Fermi energy	0.495	states/eV per atom
crystal system	monoclinic
total magnetic moment	0.81	μB per formula unit

abc: 5.5068 5.5068 6.3943
angles: 90.69 90.69 118.45
Sites, in units of the cell vectors:
Rb  0.0000  0.0000  0.0000
Np  0.6577  0.3423  0.5000
Ag  0.3247  0.6753  0.5000
O  0.3650  0.0177  0.6675
O  0.3752  0.3850  0.3204
O  0.6150  0.6248  0.6796
O  0.6422  0.0539  0.3096
O  0.9461  0.3578  0.6904
O  0.9823  0.6350  0.3325

=====

(5)
A plane-wave DFT calculation with PBE was carried out for a geometry-optimized NdZnGaNi structure.

## Properties
mass density	7.76	g cm⁻³
formation energy	-116	kJ/mol of formula units
raw total energy	-4.01	eV/atom
symmetry	F-43m
DOS at the Fermi energy	0.707	states/eV per atom
crystal system	cubic
total magnetic moment	0.00	μB per formula unit

abc: 4.6765 4.6765 4.6765
angles: 60.00 60.00 60.00
Sites, in units of the cell vectors:
Nd  0.0000  0.0000  0.0000
Zn  0.7500  0.7500  0.7500
Ga  0.5000  0.5000  0.5000
Ni  0.2500  0.2500  0.2500

=====

(6)
A plane-wave DFT calculation with PBE was carried out for a geometry-optimized PmNdAgSb structure.

## Properties
mass density	7.90	g cm⁻³
raw total energy	-4.73	eV/atom
symmetry	F-43m
DOS at the Fermi energy	0.975	states/eV per atom
crystal system	cubic
total magnetic moment	0.00	μB per formula unit

abc: 5.3630 5.3630 5.3630
angles: 60.00 60.00 60.00
Sites, in units of the cell vectors:
Pm  0.0000  0.0000  0.0000
Nd  0.5000  0.5000  0.5000
Ag  0.2500  0.2500  0.2500
Sb  0.7500  0.7500  0.7500

=====

(7)
A plane-wave DFT calculation with PBE was carried out for a geometry-optimized Be2TcF structure.

## Properties
mass density	5.19	g cm⁻³
raw total energy	-5.14	eV/atom
symmetry	I-42d
DOS at the Fermi energy	0.391	states/eV per atom
offset from the most stable computed form	0.0000	eV/atom
crystal system	tetragonal
total magnetic moment	0.00	μB per formula unit

abc: 4.8826 4.8826 4.8826
angles: 116.10 116.10 96.90
Sites, in units of the cell vectors:
Be  0.0243  0.1250  0.3993
Be  0.3750  0.9757  0.1007
Be  0.7257  0.6250  0.6007
Be  0.8750  0.2743  0.8993
Tc  0.2500  0.7500  0.5000
Tc  0.5000  0.5000  0.0000
F  0.0000  0.0000  0.0000
F  0.7500  0.2500  0.5000